Computed, not measured: an optimized crystal structure of CsYReOs2 at the PBEsol level of DFT.

Geometry as POSCAR:
```
CsYReOs2
1.0
4.788 0.000 0.000
0.000 4.788 0.000
0.000 0.000 5.265
Cs Y Re Os
1 1 1 2
Cartesian
0.000 0.000 0.000 Cs
2.394 2.394 0.000 Y
0.000 0.000 2.633 Re
0.000 2.394 2.633 Os
2.394 0.000 2.633 Os
```

Results
- magnetic moment (μB per atom) = 0.000
- symmetry = P4/mmm
- E_form (eV/atom) = 1.756